(1)
The following is a GGA-PBE calculation of Li2Mg3Ag3 after structural relaxation, from Alexandria.

- ΔH_f (0 K): -19.4 kJ per mole of atoms

Cell: 3.606 4.508 17.929 Å, 90.00 90.00 90.00°
Space group Immm (No. 71)
Inequivalent atoms, fractional coordinates:
Li: 0.000 0.000 0.246 [4 per cell]
Mg: 0.000 0.000 0.000 [2 per cell]
Mg: 0.000 0.500 0.125 [4 per cell]
Ag: 0.000 0.000 0.500 [2 per cell]
Ag: 0.000 0.500 0.370 [4 per cell]

***

(2)
The following is a GGA-PBE calculation of Li3Hf5O12 after structural relaxation, from Alexandria.

- E: -8.60 eV per atom

Cell: 13.143 13.143 13.143 Å, 90.00 90.00 90.00°
Space group Ia-3d (No. 230)
Inequivalent atoms, fractional coordinates:
Li: 0.000 0.250 0.125 [24 per cell]
Hf: 0.000 0.000 0.000 [16 per cell]
Hf: 0.000 0.250 0.375 [24 per cell]
O: 0.032 0.052 0.646 [96 per cell]

***

(3)
The following is a GGA-PBE calculation of MnAu4 after structural relaxation, from Alexandria.

- ΔH_f (0 K): 79.7 kJ per mole of atoms
- Distance to the lowest polymorph of the same formula: 904 meV/atom

Cell: 4.881 4.881 4.881 Å, 90.00 90.00 90.00°
Space group Pm-3m (No. 221)
Inequivalent atoms, fractional coordinates:
Mn: 0.000 0.000 0.000 [1 per cell]
Au: 0.000 0.000 0.500 [3 per cell]
Au: 0.500 0.500 0.500 [1 per cell]

***

(4)
The following is a GGA-PBE calculation of ThZn4Rh after structural relaxation, from Alexandria.

- ΔH_f (0 K): -25.1 kJ per mole of atoms

Cell: 7.471 7.471 7.471 Å, 90.00 90.00 90.00°
Space group F-43m (No. 216)
Inequivalent atoms, fractional coordinates:
Th: 0.000 0.000 0.000 [4 per cell]
Zn: 0.123 0.123 0.623 [16 per cell]
Rh: 0.250 0.250 0.250 [4 per cell]

***

(5)
The following is a GGA-PBE calculation of CaNdC after structural relaxation, from Alexandria.

- ΔH_f (0 K): 15.5 kJ per mole of atoms

Cell: 9.550 5.334 6.724 Å, 90.00 117.42 90.00°
Space group C2/m (No. 12)
Inequivalent atoms, fractional coordinates:
Ca: 0.132 0.000 0.408 [4 per cell]
Nd: 0.137 0.500 0.883 [4 per cell]
C: 0.076 0.000 0.014 [4 per cell]

***

(6)
The following is a GGA-PBE calculation of LaMnPb3 after structural relaxation, from Alexandria.

- ΔH_f (0 K): 98.8 kJ per mole of atoms
- Distance to the lowest polymorph of the same formula: 823 meV/atom

Cell: 6.078 6.078 6.078 Å, 90.00 90.00 90.00°
Space group Pm-3m (No. 221)
Inequivalent atoms, fractional coordinates:
La: 0.000 0.000 0.000 [1 per cell]
Mn: 0.500 0.500 0.500 [1 per cell]
Pb: 0.000 0.000 0.500 [3 per cell]

***

| no. | total magnetization (μB/f.u.) |
| --- | --- |
| 1 | 0.0 |
| 2 | 1.0 |
| 3 | 4.3 |
| 4 | 0.0 |
| 5 | 0.0 |
| 6 | 5.0 |